The following is a GGA-PBE calculation of a relaxed structure of CsSiPd2F, from the Alexandria database.

Output
Formation energy without anion corrections ... -0.593 eV/atom
V ... 179.56 Å³/f.u.

abc: 4.4474 4.4474 9.0779
angles: 90.00 90.00 90.00
Last column: nearest neighbours and their distance in Å.
Element x y z (fractional)
Cs 0.0000 0.0000 0.0000  4 F 3.14
Si 0.0000 0.0000 0.5000  4 Pd 2.22
Pd 0.0000 0.5000 0.5000  2 Si 2.22
Pd 0.5000 0.0000 0.5000  2 Si 2.22
F 0.5000 0.5000 0.0000  4 Cs 3.14



The following is a GGA-PBE calculation of a relaxed structure of CsSiPdF2, from the Alexandria database.

Output
Formation energy without anion corrections ... -1.295 eV/atom
V ... 95.45 Å³/f.u.

abc: 4.4568 4.4568 4.8055
angles: 90.00 90.00 90.00
Last column: nearest neighbours and their distance in Å.
Element x y z (fractional)
Cs 0.0000 0.0000 0.0000  4 Pd 3.15, 8 F 3.28
Si 0.5000 0.5000 0.5000  4 F 2.23, 2 Pd 2.40
Pd 0.5000 0.5000 0.0000  2 Si 2.40
F 0.0000 0.5000 0.5000  2 Si 2.23
F 0.5000 0.0000 0.5000  2 Si 2.23



The following is a GGA-PBE calculation of a relaxed structure of CsSnPdF2, from the Alexandria database.

Output
Formation energy without anion corrections ... -0.342 eV/atom
V ... 175.81 Å³/f.u.

abc: 4.6831 4.6831 8.0162
angles: 90.00 90.00 90.00
Last column: nearest neighbours and their distance in Å.
Element x y z (fractional)
Cs 0.0000 0.0000 0.0000  4 F 2.34
Sn 0.0000 0.0000 0.5000  4 Pd 3.31
Pd 0.5000 0.5000 0.5000  4 Sn 3.31
F 0.0000 0.5000 0.0000  2 Cs 2.34
F 0.5000 0.0000 0.0000  2 Cs 2.34



The following is a GGA-PBE calculation of a relaxed structure of Cs2SrPdF6, from the Alexandria database.

Output
Formation energy without anion corrections ... -2.565 eV/atom
V ... 235.78 Å³/f.u.
Relative energy among the computed polymorphs ... 58 meV per atom

abc: 6.5801 6.5801 6.2880
angles: 90.00 90.00 120.00
Last column: nearest neighbours and their distance in Å.
Element x y z (fractional)
Cs 0.3333 0.6667 0.3658  9 F 3.07-3.34
Cs 0.6667 0.3333 0.6342  9 F 3.07-3.34
Sr 0.0000 0.0000 0.0000  6 F 2.44
Pd 0.0000 0.0000 0.5000  6 F 2.22
F 0.1506 0.3012 0.7237  1 Pd 2.22, 1 Sr 2.44
F 0.1506 0.8494 0.7237  1 Pd 2.22, 1 Sr 2.44
F 0.3012 0.1506 0.2763  1 Pd 2.22, 1 Sr 2.44
F 0.6988 0.8494 0.7237  1 Pd 2.22, 1 Sr 2.44
F 0.8494 0.1506 0.2763  1 Pd 2.22, 1 Sr 2.44
F 0.8494 0.6988 0.2763  1 Pd 2.22, 1 Sr 2.44



The following is a GGA-PBE calculation of a relaxed structure of Cs2SrPdF6, from the Alexandria database.

Output
Formation energy without anion corrections ... -2.623 eV/atom
V ... 198.92 Å³/f.u.
Relative energy among the computed polymorphs ... 0 meV per atom

abc: 6.5523 6.5523 6.5523
angles: 60.00 60.00 60.00
Last column: nearest neighbours and their distance in Å.
Element x y z (fractional)
Cs 0.2500 0.2500 0.2500  12 F 3.28
Cs 0.7500 0.7500 0.7500  12 F 3.28
Sr 0.0000 0.0000 0.0000  6 F 2.41
Pd 0.5000 0.5000 0.5000  6 F 2.22
F 0.2600 0.2600 0.7400  1 Pd 2.22, 1 Sr 2.41
F 0.2600 0.7400 0.2600  1 Pd 2.22, 1 Sr 2.41
F 0.2600 0.7400 0.7400  1 Pd 2.22, 1 Sr 2.41
F 0.7400 0.2600 0.2600  1 Pd 2.22, 1 Sr 2.41
F 0.7400 0.2600 0.7400  1 Pd 2.22, 1 Sr 2.41
F 0.7400 0.7400 0.2600  1 Pd 2.22, 1 Sr 2.41



The following is a GGA-PBE calculation of a relaxed structure of Cs3SrPd2F9, from the Alexandria database.

Output
Formation energy without anion corrections ... -2.349 eV/atom
V ... 281.73 Å³/f.u.

abc: 6.4163 6.4163 7.9020
angles: 90.00 90.00 120.00
Last column: nearest neighbours and their distance in Å.
Element x y z (fractional)
Cs 0.0000 0.0000 0.0000  12 F 3.17-3.21
Cs 0.3333 0.6667 0.6749  12 F 3.17-3.33
Cs 0.6667 0.3333 0.3251  12 F 3.17-3.33
Sr 0.0000 0.0000 0.5000  6 F 2.40
Pd 0.3333 0.6667 0.1517  6 F 2.21
Pd 0.6667 0.3333 0.8483  6 F 2.21
F 0.0000 0.5000 0.0000  2 Pd 2.21
F 0.1732 0.3464 0.3186  1 Pd 2.21, 1 Sr 2.40
F 0.1732 0.8268 0.3186  1 Pd 2.21, 1 Sr 2.40
F 0.3464 0.1732 0.6814  1 Pd 2.21, 1 Sr 2.40
F 0.5000 0.0000 0.0000  2 Pd 2.21
F 0.5000 0.5000 0.0000  2 Pd 2.21
F 0.6536 0.8268 0.3186  1 Pd 2.21, 1 Sr 2.40
F 0.8268 0.1732 0.6814  1 Pd 2.21, 1 Sr 2.40
F 0.8268 0.6536 0.6814  1 Pd 2.21, 1 Sr 2.40